1.
Density functional theory data (SCAN) for KBa2Au at its PBEsol-relaxed geometry.

a = 8.132 Å, b = 4.691 Å, c = 11.496 Å
α = 90.00°, β = 103.45°, γ = 90.00°
Space group C2/m (No. 12)
Unique sites:
K (0.000, 0.000, 0.000) x2
Ba (0.218, 0.000, 0.654) x4
Au (0.000, 0.500, 0.500) x2

Results
ΔH_f (0 K) (eV per atom): -0.4624
Distance to the lowest polymorph of the same formula (eV per atom): 0.000

=====

2.
Density functional theory data (SCAN) for K2BaAu at its PBEsol-relaxed geometry.

a = 8.422 Å, b = 8.422 Å, c = 8.422 Å
α = 90.00°, β = 90.00°, γ = 90.00°
Space group F-43m (No. 216)
Unique sites:
K (0.000, 0.000, 0.000) x4
K (0.250, 0.250, 0.250) x4
Ba (0.000, 0.000, 0.500) x4
Au (0.250, 0.250, 0.750) x4

Results
ΔH_f (0 K) (eV per atom): -0.0869
Distance to the lowest polymorph of the same formula (eV per atom): 0.000

=====

3.
Density functional theory data (SCAN) for Ba2SrLaAu at its PBEsol-relaxed geometry.

a = 6.239 Å, b = 6.239 Å, c = 6.015 Å
α = 90.00°, β = 90.00°, γ = 90.00°
Space group P4/mmm (No. 123)
Unique sites:
Ba (0.000, 0.500, 0.000) x2
Sr (0.000, 0.000, 0.500) x1
La (0.500, 0.500, 0.500) x1
Au (0.000, 0.000, 0.000) x1

Results
ΔH_f (0 K) (eV per atom): -0.1708

=====

Q: Which value of ΔH_f (0 K) does entry 2 give?
A: -0.0869 eV per atom